Record 1
# HoTe2H PBE relaxed
# E above lowest polymorph: 0.0000 eV per atom
# VASP energy: -17.155 eV per cell
# Crystal system: trigonal
data_HoTe2H
_chemical_formula_sum 'Ho1 Te2 H1'
_cell_length_a 4.486
_cell_length_b 4.486
_cell_length_c 7.671
_cell_angle_alpha 73.00
_cell_angle_beta 73.00
_cell_angle_gamma 60.00
_symmetry_space_group_name_H-M 'P 1'
_symmetry_Int_Tables_number 1
loop_
_symmetry_equiv_pos_as_xyz
'x,y,z'
loop_
_atom_site_label
_atom_site_type_symbol
_atom_site_fract_x
_atom_site_fract_y
_atom_site_fract_z
_atom_site_occupancy
H1 H 0.000 0.000 0.000 1
Te1 Te 0.090 0.090 0.730 1
Te2 Te 0.910 0.910 0.270 1
Ho1 Ho 0.500 0.500 0.500 1



Record 2
# Zr2TlPt PBE relaxed
# E above lowest polymorph: 0.6152 eV per atom
# VASP energy: -50.043 eV per cell
# Crystal system: tetragonal
data_Zr2TlPt
_chemical_formula_sum 'Zr4 Tl2 Pt2'
_cell_length_a 4.324
_cell_length_b 4.324
_cell_length_c 10.329
_cell_angle_alpha 77.92
_cell_angle_beta 77.92
_cell_angle_gamma 90.00
_symmetry_space_group_name_H-M 'P 1'
_symmetry_Int_Tables_number 1
loop_
_symmetry_equiv_pos_as_xyz
'x,y,z'
loop_
_atom_site_label
_atom_site_type_symbol
_atom_site_fract_x
_atom_site_fract_y
_atom_site_fract_z
_atom_site_occupancy
Tl1 Tl 0.000 0.000 0.000 1
Tl2 Tl 0.750 0.250 0.500 1
Zr1 Zr 0.621 0.125 0.250 1
Zr2 Zr 0.129 0.625 0.250 1
Zr3 Zr 0.375 0.379 0.750 1
Zr4 Zr 0.875 0.871 0.750 1
Pt1 Pt 0.500 0.500 0.000 1
Pt2 Pt 0.250 0.750 0.500 1